Below is an optimized crystal structure of CaIn3Sn3, with properties calculated at the PBE level.

Results
Calculated formation energy, eV/atom: -0.106
Magnetic moment, μB/cell: 0.00
Energy, eV/atom: -3.2810

```
data_CaIn3Sn3
_chemical_formula_sum 'Ca4 In12 Sn12'
_cell_length_a 11.006
_cell_length_b 10.694
_cell_length_c 6.870
_cell_angle_alpha 90.00
_cell_angle_beta 90.24
_cell_angle_gamma 90.00
_symmetry_space_group_name_H-M 'C 1 2/m 1'
_symmetry_Int_Tables_number 12
_symmetry_space_group_name_Hall '-C 2y'
loop_
_atom_site_label
_atom_site_fract_x
_atom_site_fract_y
_atom_site_fract_z
Ca1 0.207 0.000 0.000
In1 0.000 0.161 0.500
In2 0.000 0.240 0.000
In3 0.240 0.500 0.500
Sn1 0.000 0.500 0.242
Sn2 0.250 0.250 0.270
```